Here is crystalline PmTmGa2Cu2 at its relaxed geometry from the Alexandria database. Energies are from PBE.

The crystal system is trigonal. Its formation energy is -0.49 eV per atom.

Cell: 4.3583 4.3583 7.2188 Å, 90.00 90.00 120.00°
Last column: nearest neighbours and their distance in Å.
Space group P-3m1 (No. 164)
Inequivalent atoms, fractional coordinates:
Pm: 0.0000 0.0000 0.0000 (multiplicity 1)  6 Ga 3.18, 6 Cu 3.23
Tm: 0.0000 0.0000 0.5000 (multiplicity 1)  6 Cu 2.97, 6 Ga 3.01
Ga: 0.3333 0.6667 0.2702 (multiplicity 2)  3 Cu 2.52
Cu: 0.3333 0.6667 0.7193 (multiplicity 2)  3 Ga 2.52